(1)
{
  "formula": "Cr3InHg",
  "functional": "PBE",
  "state": "optimized geometry",
  "lattice": [[5.151, 0.000, 0.000], [0.000, 5.151, 0.000], [0.000, 0.000, 5.151]],
  "species": ["Cr", "Cr", "Cr", "In", "Hg"],
  "fractional_positions": [[0.000, 0.000, 0.500], [0.000, 0.500, 0.000], [0.500, 0.000, 0.000], [0.500, 0.500, 0.500], [0.000, 0.000, 0.000]],
  "formation_energy_mev_per_atom": 1361,
  "relative_energy_mev_per_atom": 0
}

---

(2)
{
  "formula": "HfCrAsSe2",
  "functional": "PBE",
  "state": "optimized geometry",
  "lattice": [[5.134, 0.000, 0.000], [0.000, 5.134, 0.000], [0.000, 0.000, 5.187]],
  "species": ["Hf", "Cr", "As", "Se", "Se"],
  "fractional_positions": [[0.000, 0.000, 0.000], [0.500, 0.500, 0.500], [0.000, 0.000, 0.500], [0.000, 0.500, 0.000], [0.500, 0.000, 0.000]],
  "relative_energy_mev_per_atom": 0,
  "raw_formation_energy_ev_per_atom": 0.098
}

---

(3)
{
  "formula": "Li3OsBr8",
  "functional": "PBE",
  "state": "optimized geometry",
  "lattice": [[4.036, -5.317, 0.000], [4.036, 5.317, 0.000], [0.000, 0.000, 7.959]],
  "species": ["Li", "Li", "Li", "Os", "Br", "Br", "Br", "Br", "Br", "Br", "Br", "Br"],
  "fractional_positions": [[0.000, 0.000, 0.000], [0.000, 0.500, 0.810], [0.500, 0.000, 0.190], [0.000, 0.000, 0.500], [0.218, 0.224, 0.721], [0.224, 0.218, 0.279], [0.232, 0.768, 0.500], [0.244, 0.756, 0.000], [0.756, 0.244, 0.000], [0.768, 0.232, 0.500], [0.776, 0.782, 0.279], [0.782, 0.776, 0.721]],
  "raw_formation_energy_ev_per_atom": -0.777
}

---

Number 1: size of the total moment 2.673 μB/atom. Number 2: size of the total moment 0.829 μB/atom. Number 3: size of the total moment 0.253 μB/atom.